Entry from Alexandria: a PBEsol-optimized structure of Mg2InB (SCAN).

a = 4.6347 Å, b = 4.6347 Å, c = 4.6347 Å
α = 60.00°, β = 60.00°, γ = 60.00°
Element x y z (fractional)
Mg  0.2500  0.2500  0.2500
Mg  0.7500  0.7500  0.7500
In  0.0000  0.0000  0.0000
B  0.5000  0.5000  0.5000

Properties
The value obtained for the energy of formation is 2.2 eV/f.u. Its calculated volume is 17.599 Å³/atom. The total magnetization is 0.0000 μB per atom. For the total energy, the calculation gives -12.15 eV/atom.



Entry from Alexandria: a PBEsol-optimized structure of Mg3InB (SCAN).

a = 5.1954 Å, b = 5.1954 Å, c = 5.1954 Å
α = 90.00°, β = 90.00°, γ = 90.00°
Element x y z (fractional)
Mg  0.0000  0.0000  0.5000
Mg  0.0000  0.5000  0.0000
Mg  0.5000  0.0000  0.0000
In  0.0000  0.0000  0.0000
B  0.5000  0.5000  0.5000

Properties
The value obtained for the energy of formation is 6.0 eV/f.u. Its calculated volume is 28.047 Å³/atom. The total magnetization is 0.0009 μB per atom. For the total energy, the calculation gives -9.94 eV/atom.



Entry from Alexandria: a PBEsol-optimized structure of Mg2InB2 (SCAN).

a = 7.4163 Å, b = 7.4163 Å, c = 2.7548 Å
α = 90.00°, β = 90.00°, γ = 90.00°
Element x y z (fractional)
Mg  0.1308  0.3692  0.0000
Mg  0.3692  0.8692  0.0000
Mg  0.6308  0.1308  0.0000
Mg  0.8692  0.6308  0.0000
In  0.0000  0.0000  0.0000
In  0.5000  0.5000  0.0000
B  0.1711  0.6711  0.5000
B  0.3289  0.1711  0.5000
B  0.6711  0.8289  0.5000
B  0.8289  0.3289  0.5000

Properties
The value obtained for the energy of formation is 4.6 eV/f.u. Its calculated volume is 15.152 Å³/atom. The total magnetization is 0.0000 μB per atom. For the total energy, the calculation gives -10.72 eV/atom.